The following is a PBE calculation of an optimized crystal structure of BeAgSe, from Alexandria.

## Properties
Raw total energy   -3.5749 eV per atom
Mass density   5.685 Mg/m³
Space-group type   P-1

abc: 3.552 6.090 6.159
angles: 114.11 101.37 99.84
Positions (direct):
Be  0.136  0.303  0.420
Be  0.864  0.697  0.580
Ag  0.333  0.117  0.702
Ag  0.667  0.883  0.298
Se  0.428  0.664  0.785
Se  0.572  0.336  0.215

***

The following is a PBE calculation of an optimized crystal structure of Ga2Cl3, from Alexandria.

## Properties
Raw total energy   -3.0086 eV per atom
Mass density   3.099 Mg/m³
Space-group type   R-3c

abc: 7.747 7.747 7.747
angles: 51.55 51.55 51.55
Positions (direct):
Ga  0.152  0.152  0.152
Ga  0.348  0.348  0.348
Ga  0.652  0.652  0.652
Ga  0.848  0.848  0.848
Cl  0.081  0.750  0.419
Cl  0.250  0.581  0.919
Cl  0.419  0.081  0.750
Cl  0.581  0.919  0.250
Cl  0.750  0.419  0.081
Cl  0.919  0.250  0.581

***

Per-record energy relative to the elements, uncorrected, eV per atom: -0.22; -0.69
Per-record magnetic moment, μB/f.u.: 0.00; 0.00